DFT (GGA-PBE) results for a geometry-optimized Na2TlIn4Hg2 structure.

```
data_Na2TlIn4Hg2
_chemical_formula_sum 'Na2 Tl1 In4 Hg2'
_space_group_name_H-M_alt 'P 3 m 1'
_space_group_IT_number 156
_space_group_name_Hall 'P 3 -2"'
_cell_length_a 3.5622
_cell_length_b 3.5622
_cell_length_c 22.8937
_cell_angle_alpha 90.00
_cell_angle_beta 90.00
_cell_angle_gamma 120.00
loop_
_atom_site_label
_atom_site_type_symbol
_atom_site_fract_x
_atom_site_fract_y
_atom_site_fract_z
_atom_site_occupancy
Na1 Na 0.0000 0.0000 0.0000 1
Na2 Na 0.0000 0.0000 0.2283 1
Tl1 Tl 0.3333 0.6667 0.1137 1
In1 In 0.0000 0.0000 0.6586 1
In2 In 0.0000 0.0000 0.8646 1
In3 In 0.3333 0.6667 0.3418 1
In4 In 0.3333 0.6667 0.5463 1
Hg1 Hg 0.0000 0.0000 0.4432 1
Hg2 Hg 0.3333 0.6667 0.7618 1
```

Summary:
ΔH_f (0 K), eV per atom: -0.01
Fermi-level density of states, states/eV per atom: 0.31
Raw total energy, eV per atom: -1.851